No. 1
DFT (GGA-PBE) results for Ni2TeAu after structural relaxation.

Lattice parameters (Å, degrees): 5.8367 5.8367 5.8367 38.90 38.90 38.90
Last column: nearest neighbours and their distance in Å.
Element x y z (fractional)
Ni: 0.0000 0.0000 0.0000  3 Ni 2.39, 3 Au 2.58
Ni: 0.2825 0.2825 0.2825  3 Ni 2.39, 3 Te 2.54
Te: 0.5424 0.5424 0.5424  3 Ni 2.54
Au: 0.7454 0.7454 0.7454  3 Ni 2.58

Spin magnetization = 0.00 μB per formula unit
Formation energy from raw total energies = 170.6 meV/atom
Space-group type = R3m, No. 160



No. 2
DFT (GGA-PBE) results for NiTe2Au after structural relaxation.

Lattice parameters (Å, degrees): 3.3187 3.3187 8.1731 90.00 90.00 90.00
Last column: nearest neighbours and their distance in Å.
Element x y z (fractional)
Ni: 0.0000 0.0000 0.0000  4 Te 2.62, 4 Au 2.85
Te: 0.0000 0.0000 0.5550  4 Au 3.10, 4 Te 3.32
Te: 0.5000 0.5000 0.1430  4 Ni 2.62, 1 Au 2.78
Au: 0.5000 0.5000 0.8023  5 Te 2.78-3.10, 4 Ni 2.85

Spin magnetization = 0.00 μB per formula unit
Formation energy from raw total energies = 101.5 meV/atom
Relative energy among the computed polymorphs = 0.1820 eV/atom
Space-group type = P4mm, No. 99



no.,N(E_F) (states/eV/f.u.)
1,2.73
2,1.56